LaPrTe2Cl after structural relaxation, computed with GGA-PBE.

The calculation puts the volume at 306.4 Å³/cell. The total energy comes out at -53.2 eV for the cell shown. The formation energy (no corrections) is -1.75 eV/atom.

The structure belongs to space group P4/nmm (No. 129, origin choice 2); the cell edges are 4.486, 4.486 and 15.224 Å and the angles 90.00°, 90.00° and 90.00°. The inequivalent atoms are La at (0.250, 0.250, 0.134), Pr at (0.250, 0.250, 0.588), Te at (0.250, 0.250, 0.374), Te at (0.250, 0.250, 0.801) and Cl at (0.250, 0.750, 0.000).